Entry from Alexandria: Ta3Mo2 after structural relaxation (PBEsol).

* density of states at the Fermi level: 0.82 states/eV/atom
* uncorrected energy: -61.9 eV/f.u.
* SG: No. 12
* calculated formation energy: -0.135 eV/atom
* calculated volume: 16.56 A^3/atom

a b c (Å): 3.1909 5.3262 5.3505
angles (deg): 83.88 72.65 72.57
With the nearest neighbours (Å) after each atom.
Fractional positions:
Mo (0.1044, 0.0990, 0.6922)  2 Mo 2.74, 6 Ta 2.74-2.78
Mo (0.8956, 0.9010, 0.3078)  2 Mo 2.74, 6 Ta 2.74-2.78
Ta (0.6904, 0.7121, 0.9072)  4 Mo 2.74-2.78, 4 Ta 2.83-2.85
Ta (0.5000, 0.5000, 0.5000)  4 Mo 2.75, 4 Ta 2.85
Ta (0.3096, 0.2879, 0.0928)  4 Mo 2.74-2.78, 4 Ta 2.83-2.85


Entry from Alexandria: Ta2Mo after structural relaxation (PBEsol).

* density of states at the Fermi level: 0.99 states/eV/atom
* uncorrected energy: -37.3 eV/f.u.
* SG: No. 139
* calculated formation energy: -0.146 eV/atom
* calculated volume: 16.73 A^3/atom

a b c (Å): 3.2085 3.2085 5.3765
angles (deg): 107.36 107.36 90.00
With the nearest neighbours (Å) after each atom.
Fractional positions:
Mo (0.0000, 0.0000, 0.0000)  8 Ta 2.75
Ta (0.3402, 0.3402, 0.6805)  4 Mo 2.75, 4 Ta 2.87
Ta (0.6598, 0.6598, 0.3195)  4 Mo 2.75, 4 Ta 2.87


Entry from Alexandria: Ta3Mo5 after structural relaxation (PBEsol).

* density of states at the Fermi level: 0.55 states/eV/atom
* uncorrected energy: -97.7 eV/f.u.
* SG: No. 5
* calculated formation energy: -0.147 eV/atom
* calculated volume: 16.05 A^3/atom

a b c (Å): 5.2860 5.2860 5.4808
angles (deg): 99.84 99.84 117.41
With the nearest neighbours (Å) after each atom.
Fractional positions:
Mo (0.0036, 0.9964, 0.0000)  6 Mo 2.74-2.75, 2 Ta 2.80
Mo (0.0043, 0.4998, 0.7512)  3 Mo 2.71-2.75, 5 Ta 2.74-2.75
Mo (0.9960, 0.0040, 0.5000)  4 Mo 2.72-2.74, 4 Ta 2.75-2.78
Mo (0.4955, 0.5045, 0.0000)  4 Mo 2.71-2.75, 4 Ta 2.74-2.77
Mo (0.5002, 0.9957, 0.2488)  3 Mo 2.71-2.75, 5 Ta 2.74-2.75
Ta (0.9950, 0.5002, 0.2487)  7 Mo 2.74-2.80, 1 Ta 2.83
Ta (0.4998, 0.0050, 0.7513)  7 Mo 2.74-2.80, 1 Ta 2.83
Ta (0.5056, 0.4944, 0.5000)  6 Mo 2.74-2.75, 2 Ta 2.83